# 1
This record from Alexandria describes an optimized crystal structure of ZnSi2W. The functional is PBE-GGA.

Cell lengths 3.342, 4.104, 8.243 Å; angles 90.00, 90.00, 90.00 degrees
Space group Imm2 (No. 44)
One atom of each set of equivalent atoms:
Zn  0.000  0.000  0.000 (multiplicity 2)
Si  0.000  0.000  0.487 (multiplicity 2)
Si  0.000  0.500  0.741 (multiplicity 2)
W  0.000  0.500  0.234 (multiplicity 2)

Results
Uncorrected formation energy: 219 meV per atom


# 2
This record from Alexandria describes an optimized crystal structure of ZnSiW4. The functional is PBE-GGA.

Cell lengths 7.452, 7.452, 7.452 Å; angles 90.00, 90.00, 90.00 degrees
Space group F-43m (No. 216)
One atom of each set of equivalent atoms:
Zn  0.000  0.000  0.000 (multiplicity 4)
Si  0.250  0.250  0.750 (multiplicity 4)
W  0.126  0.126  0.374 (multiplicity 16)

Results
Uncorrected formation energy: 781 meV per atom


# 3
This record from Alexandria describes an optimized crystal structure of Zn2Si2W. The functional is PBE-GGA.

Cell lengths 6.517, 6.517, 3.549 Å; angles 90.00, 90.00, 90.00 degrees
Space group P4/mbm (No. 127)
One atom of each set of equivalent atoms:
Zn  0.167  0.333  0.000 (multiplicity 4)
Si  0.135  0.635  0.500 (multiplicity 4)
W  0.000  0.000  0.500 (multiplicity 2)

Results
Energy above the lowest structure with this stoichiometry: 0.0000 eV per atom
Uncorrected formation energy: 270 meV per atom


# 4
This record from Alexandria describes an optimized crystal structure of ZnSiW2. The functional is PBE-GGA.

Cell lengths 9.365, 2.793, 4.635 Å; angles 90.00, 104.27, 90.00 degrees
Space group Cm (No. 8)
One atom of each set of equivalent atoms:
Zn  0.000  0.000  0.000 (multiplicity 2)
Si  0.263  0.000  0.697 (multiplicity 2)
W  0.019  0.500  0.512 (multiplicity 2)
W  0.252  0.500  0.185 (multiplicity 2)

Results
Energy above the lowest structure with this stoichiometry: 0.1221 eV per atom
Uncorrected formation energy: 237 meV per atom


# 5
This record from Alexandria describes an optimized crystal structure of ZnSiW3. The functional is PBE-GGA.

Cell lengths 4.504, 4.504, 4.504 Å; angles 90.00, 90.00, 90.00 degrees
Space group Pm-3m (No. 221)
One atom of each set of equivalent atoms:
Zn  0.000  0.000  0.000 (multiplicity 1)
Si  0.500  0.500  0.500 (multiplicity 1)
W  0.000  0.500  0.500 (multiplicity 3)

Results
Energy above the lowest structure with this stoichiometry: 0.0000 eV per atom
Uncorrected formation energy: 1406 meV per atom


# 6
This record from Alexandria describes an optimized crystal structure of ZnSiW2. The functional is PBE-GGA.

Cell lengths 6.911, 6.911, 5.361 Å; angles 90.00, 90.00, 90.00 degrees
Space group I-42d (No. 122)
One atom of each set of equivalent atoms:
Zn  0.000  0.000  0.000 (multiplicity 4)
Si  0.000  0.000  0.500 (multiplicity 4)
W  0.226  0.250  0.625 (multiplicity 8)

Results
Energy above the lowest structure with this stoichiometry: 0.5261 eV per atom
Uncorrected formation energy: 641 meV per atom


# 7
This record from Alexandria describes an optimized crystal structure of ZnSi2W2. The functional is PBE-GGA.

Cell lengths 6.858, 6.858, 3.251 Å; angles 90.00, 90.00, 90.00 degrees
Space group P4/mbm (No. 127)
One atom of each set of equivalent atoms:
Zn  0.000  0.000  0.000 (multiplicity 2)
Si  0.143  0.357  0.500 (multiplicity 4)
W  0.148  0.648  0.000 (multiplicity 4)

Results
Energy above the lowest structure with this stoichiometry: 0.0030 eV per atom
Uncorrected formation energy: 70 meV per atom


# 8
This record from Alexandria describes an optimized crystal structure of Zn2Si2W. The functional is PBE-GGA.

Cell lengths 3.425, 3.425, 13.346 Å; angles 90.00, 90.00, 90.00 degrees
Space group I4/mmm (No. 139)
One atom of each set of equivalent atoms:
Zn  0.000  0.000  0.094 (multiplicity 4)
Si  0.000  0.500  0.250 (multiplicity 4)
W  0.000  0.000  0.500 (multiplicity 2)

Results
Energy above the lowest structure with this stoichiometry: 0.4524 eV per atom
Uncorrected formation energy: 722 meV per atom


# 9
This record from Alexandria describes an optimized crystal structure of ZrSi2W. The functional is PBE-GGA.

Cell lengths 4.180, 4.180, 3.668 Å; angles 90.00, 90.00, 90.00 degrees
Space group P4/mmm (No. 123)
One atom of each set of equivalent atoms:
Zr  0.000  0.000  0.000 (multiplicity 1)
Si  0.000  0.500  0.500 (multiplicity 2)
W  0.500  0.500  0.000 (multiplicity 1)

Results
Energy above the lowest structure with this stoichiometry: 0.2955 eV per atom
Uncorrected formation energy: -71 meV per atom


# 10
This record from Alexandria describes an optimized crystal structure of ZrSiW. The functional is PBE-GGA.

Cell lengths 4.5998, 4.5998, 2.8609 Å; angles 90.00, 90.00, 120.00 degrees
Space group P-6m2 (No. 187)
One atom of each set of equivalent atoms:
Zr  0.0000  0.0000  0.0000 (multiplicity 1)
Si  0.6667  0.3333  0.5000 (multiplicity 1)
W  0.3333  0.6667  0.5000 (multiplicity 1)

Results
Uncorrected formation energy: -2 meV per atom


# 11
This record from Alexandria describes an optimized crystal structure of Zr2SiW. The functional is PBE-GGA.

Cell lengths 6.433, 6.442, 3.540 Å; angles 90.00, 90.00, 90.00 degrees
Space group Cmmm (No. 65)
One atom of each set of equivalent atoms:
Zr  0.250  0.250  0.000 (multiplicity 4)
Si  0.000  0.000  0.500 (multiplicity 2)
W  0.000  0.500  0.500 (multiplicity 2)

Results
Uncorrected formation energy: -271 meV per atom


# 12
This record from Alexandria describes an optimized crystal structure of ZrSi2W. The functional is PBE-GGA.

Cell lengths 3.973, 3.391, 9.424 Å; angles 90.00, 90.00, 90.00 degrees
Space group Amm2 (No. 38)
One atom of each set of equivalent atoms:
Zr  0.000  0.000  0.000 (multiplicity 2)
Si  0.000  0.000  0.726 (multiplicity 2)
Si  0.500  0.000  0.574 (multiplicity 2)
W  0.500  0.000  0.288 (multiplicity 2)

Results
Energy above the lowest structure with this stoichiometry: 0.0000 eV per atom
Uncorrected formation energy: -367 meV per atom


# 13
This record from Alexandria describes an optimized crystal structure of ZrSi4W. The functional is PBE-GGA.

Cell lengths 7.008, 7.008, 7.008 Å; angles 90.00, 90.00, 90.00 degrees
Space group F-43m (No. 216)
One atom of each set of equivalent atoms:
Zr  0.000  0.000  0.000 (multiplicity 4)
Si  0.125  0.125  0.625 (multiplicity 16)
W  0.250  0.250  0.250 (multiplicity 4)

Results
Uncorrected formation energy: 173 meV per atom


# 14
This record from Alexandria describes an optimized crystal structure of ZrSi2W. The functional is PBE-GGA.

Cell lengths 5.713, 6.475, 3.482 Å; angles 90.00, 90.00, 90.00 degrees
Space group Cmmm (No. 65)
One atom of each set of equivalent atoms:
Zr  0.000  0.000  0.000 (multiplicity 2)
Si  0.250  0.250  0.500 (multiplicity 4)
W  0.000  0.500  0.000 (multiplicity 2)

Results
Energy above the lowest structure with this stoichiometry: 0.2876 eV per atom
Uncorrected formation energy: -79 meV per atom


# 15
This record from Alexandria describes an optimized crystal structure of Zr3SiW. The functional is PBE-GGA.

Cell lengths 4.860, 4.860, 4.860 Å; angles 90.00, 90.00, 90.00 degrees
Space group Pm-3m (No. 221)
One atom of each set of equivalent atoms:
Zr  0.000  0.000  0.500 (multiplicity 3)
Si  0.000  0.000  0.000 (multiplicity 1)
W  0.500  0.500  0.500 (multiplicity 1)

Results
Energy above the lowest structure with this stoichiometry: 0.0000 eV per atom
Uncorrected formation energy: 690 meV per atom


# 16
This record from Alexandria describes an optimized crystal structure of Zr2SiW. The functional is PBE-GGA.

Cell lengths 9.608, 3.441, 4.712 Å; angles 90.00, 109.24, 90.00 degrees
Space group Cm (No. 8)
One atom of each set of equivalent atoms:
Zr  0.000  0.000  0.000 (multiplicity 2)
Zr  0.233  0.000  0.755 (multiplicity 2)
Si  0.262  0.500  0.299 (multiplicity 2)
W  0.482  0.000  0.465 (multiplicity 2)

Results
Uncorrected formation energy: -149 meV per atom


# 17
This record from Alexandria describes an optimized crystal structure of Zr2SiW. The functional is PBE-GGA.

Cell lengths 3.426, 4.625, 9.451 Å; angles 90.00, 90.00, 90.00 degrees
Space group Imm2 (No. 44)
One atom of each set of equivalent atoms:
Zr  0.000  0.000  0.000 (multiplicity 2)
Zr  0.000  0.500  0.234 (multiplicity 2)
Si  0.000  0.500  0.779 (multiplicity 2)
W  0.000  0.000  0.486 (multiplicity 2)

Results
Uncorrected formation energy: -143 meV per atom


# 18
This record from Alexandria describes an optimized crystal structure of ZrSi2W. The functional is PBE-GGA.

Cell lengths 3.605, 4.114, 8.676 Å; angles 90.00, 90.00, 90.00 degrees
Space group Imm2 (No. 44)
One atom of each set of equivalent atoms:
Zr  0.000  0.000  0.000 (multiplicity 2)
Si  0.000  0.000  0.501 (multiplicity 2)
Si  0.000  0.500  0.751 (multiplicity 2)
W  0.000  0.500  0.242 (multiplicity 2)

Results
Energy above the lowest structure with this stoichiometry: 0.2648 eV per atom
Uncorrected formation energy: -102 meV per atom


# 19
This record from Alexandria describes an optimized crystal structure of ZrSiW3. The functional is PBE-GGA.

Cell lengths 4.545, 4.545, 4.545 Å; angles 90.00, 90.00, 90.00 degrees
Space group Pm-3m (No. 221)
One atom of each set of equivalent atoms:
Zr  0.000  0.000  0.000 (multiplicity 1)
Si  0.500  0.500  0.500 (multiplicity 1)
W  0.000  0.500  0.500 (multiplicity 3)

Results
Energy above the lowest structure with this stoichiometry: 0.0000 eV per atom
Uncorrected formation energy: 863 meV per atom


# 20
This record from Alexandria describes an optimized crystal structure of Zr2SiW. The functional is PBE-GGA.

Cell lengths 7.747, 7.747, 5.240 Å; angles 90.00, 90.00, 90.00 degrees
Space group I-42d (No. 122)
One atom of each set of equivalent atoms:
Zr  0.219  0.250  0.125 (multiplicity 8)
Si  0.000  0.000  0.000 (multiplicity 4)
W  0.000  0.000  0.500 (multiplicity 4)

Results
Uncorrected formation energy: 405 meV per atom


# 21
This record from Alexandria describes an optimized crystal structure of Zr2SiW. The functional is PBE-GGA.

Cell lengths 3.3352, 3.3352, 24.5418 Å; angles 90.00, 90.00, 120.00 degrees
Space group R3m (No. 160, hexagonal axes)
One atom of each set of equivalent atoms:
Zr  0.0000  0.0000  0.0000 (multiplicity 3)
Zr  0.0000  0.0000  0.2287 (multiplicity 3)
Si  0.0000  0.0000  0.7447 (multiplicity 3)
W  0.0000  0.0000  0.4745 (multiplicity 3)

Results
Uncorrected formation energy: 87 meV per atom


# 22
This record from Alexandria describes an optimized crystal structure of ZrSiW. The functional is PBE-GGA.

Cell lengths 12.078, 3.599, 7.048 Å; angles 90.00, 90.00, 90.00 degrees
Space group Pmma (No. 51)
One atom of each set of equivalent atoms:
Zr  0.052  0.000  0.238 (multiplicity 4)
Zr  0.250  0.000  0.837 (multiplicity 2)
Si  0.095  0.500  0.937 (multiplicity 4)
Si  0.250  0.000  0.447 (multiplicity 2)
W  0.114  0.500  0.560 (multiplicity 4)
W  0.250  0.500  0.193 (multiplicity 2)

Results
Uncorrected formation energy: -516 meV per atom


# 23
This record from Alexandria describes an optimized crystal structure of ZrSi2W. The functional is PBE-GGA.

Cell lengths 8.342, 3.284, 5.100 Å; angles 90.00, 101.81, 90.00 degrees
Space group C2/m (No. 12)
One atom of each set of equivalent atoms:
Zr  0.000  0.000  0.000 (multiplicity 2)
Si  0.235  0.000  0.676 (multiplicity 4)
W  0.000  0.500  0.500 (multiplicity 2)

Results
Energy above the lowest structure with this stoichiometry: 0.1596 eV per atom
Uncorrected formation energy: -207 meV per atom


# 24
This record from Alexandria describes an optimized crystal structure of Zr2SiW. The functional is PBE-GGA.

Cell lengths 3.635, 4.781, 8.524 Å; angles 90.00, 90.00, 90.00 degrees
Space group Cmmm (No. 65)
One atom of each set of equivalent atoms:
Zr  0.000  0.000  0.239 (multiplicity 4)
Si  0.000  0.500  0.000 (multiplicity 2)
W  0.000  0.500  0.500 (multiplicity 2)

Results
Uncorrected formation energy: -119 meV per atom


# 25
This record from Alexandria describes an optimized crystal structure of ZrSiW. The functional is PBE-GGA.

Cell lengths 3.353, 3.353, 9.206 Å; angles 90.00, 90.00, 90.00 degrees
Space group I4mm (No. 107)
One atom of each set of equivalent atoms:
Zr  0.000  0.000  0.000 (multiplicity 2)
Si  0.000  0.000  0.312 (multiplicity 2)
W  0.000  0.000  0.688 (multiplicity 2)

Results
Uncorrected formation energy: -196 meV per atom


# 26
This record from Alexandria describes an optimized crystal structure of Zr3SiW. The functional is PBE-GGA.

Cell lengths 5.039, 5.039, 5.039 Å; angles 90.00, 90.00, 90.00 degrees
Space group Pm-3m (No. 221)
One atom of each set of equivalent atoms:
Zr  0.000  0.000  0.500 (multiplicity 3)
Si  0.500  0.500  0.500 (multiplicity 1)
W  0.000  0.000  0.000 (multiplicity 1)

Results
Energy above the lowest structure with this stoichiometry: 0.2799 eV per atom
Uncorrected formation energy: 969 meV per atom


# 27
This record from Alexandria describes an optimized crystal structure of ZrSi2W. The functional is PBE-GGA.

Cell lengths 3.385, 3.385, 5.666 Å; angles 90.00, 90.00, 90.00 degrees
Space group P4mm (No. 99)
One atom of each set of equivalent atoms:
Zr  0.000  0.000  0.000 (multiplicity 1)
Si  0.000  0.000  0.506 (multiplicity 1)
Si  0.500  0.500  0.261 (multiplicity 1)
W  0.500  0.500  0.713 (multiplicity 1)

Results
Energy above the lowest structure with this stoichiometry: 0.1418 eV per atom
Uncorrected formation energy: -225 meV per atom


# 28
This record from Alexandria describes an optimized crystal structure of Zr2SiW. The functional is PBE-GGA.

Cell lengths 2.9936, 2.9936, 29.0068 Å; angles 90.00, 90.00, 120.00 degrees
Space group R-3m (No. 166, hexagonal axes)
One atom of each set of equivalent atoms:
Zr  0.0000  0.0000  0.2459 (multiplicity 6)
Si  0.0000  0.0000  0.5000 (multiplicity 3)
W  0.0000  0.0000  0.0000 (multiplicity 3)

Results
Uncorrected formation energy: 134 meV per atom